Entry 1:
Sc4Te (PBE, relaxed); distance to the lowest polymorph of the same formula = 494.6 meV/atom; crystal system = cubic; DOS(E_F) = 12.4 states/eV/f.u.; energy relative to the elements, uncorrected = 117.8 meV/atom
1.0
5.315 0.000 0.000
0.000 5.315 0.000
0.000 0.000 5.315
Sc Te
4 1
Direct
0.000 0.000 0.000
0.000 0.500 0.500
0.500 0.000 0.500
0.500 0.500 0.000
0.500 0.500 0.500

=====

Entry 2:
CaSi2BOs2 (PBE, relaxed); crystal system = tetragonal; DOS(E_F) = 2.4 states/eV/f.u.; energy relative to the elements, uncorrected = -394.8 meV/atom
1.0
4.165 0.000 0.000
0.000 4.165 0.000
0.000 0.000 5.322
Ca Si B Os
1 2 1 2
Direct
0.000 0.000 0.000
0.500 0.500 0.225
0.500 0.500 0.775
0.000 0.000 0.500
0.000 0.500 0.500
0.500 0.000 0.500